i:
Density functional theory data (PBE) for a relaxed structure of P2IBrO.

## Properties
**V**: 115 Å³/cell
**Symmetry**: P4/mmm
**Crystal system**: tetragonal
**M_tot**: 1.453 μB per formula unit

a = 5.3603 Å, b = 5.3603 Å, c = 3.9960 Å
α = 90.00°, β = 90.00°, γ = 90.00°
Closest atoms and distances in Å follow each position.
Sites, in units of the cell vectors:
I (0.0000, 0.0000, 0.0000)  2 O 2.00
P (0.0000, 0.5000, 0.0000)  2 I 2.68
P (0.5000, 0.0000, 0.0000)  2 I 2.68
O (0.0000, 0.0000, 0.5000)  2 I 2.00
Br (0.5000, 0.5000, 0.5000)  8 P 3.34



ii:
Density functional theory data (PBE) for a relaxed structure of P2IBrO.

## Properties
**V**: 103 Å³/cell
**Symmetry**: P4/mmm
**Crystal system**: tetragonal
**M_tot**: 0.004 μB per formula unit

a = 5.0477 Å, b = 5.0477 Å, c = 4.0331 Å
α = 90.00°, β = 90.00°, γ = 90.00°
Closest atoms and distances in Å follow each position.
Sites, in units of the cell vectors:
I (0.5000, 0.5000, 0.5000)  8 P 3.23, 4 O 3.57
P (0.0000, 0.5000, 0.0000)  2 Br 2.52
P (0.5000, 0.0000, 0.0000)  2 Br 2.52
O (0.0000, 0.0000, 0.5000)  2 Br 2.02
Br (0.0000, 0.0000, 0.0000)  2 O 2.02



It turns out i is the most stable, with the second structure 9.9 kJ/mol of atoms higher.



i:
Density functional theory data (PBE) for a relaxed structure of PIBrO2.

## Properties
**V**: 118 Å³/cell
**Symmetry**: P4/mmm
**Crystal system**: tetragonal
**M_tot**: 0.000 μB per formula unit

a = 3.8780 Å, b = 3.8780 Å, c = 7.8499 Å
α = 90.00°, β = 90.00°, γ = 90.00°
Closest atoms and distances in Å follow each position.
Sites, in units of the cell vectors:
I (0.0000, 0.0000, 0.5000)  4 P 2.74
P (0.5000, 0.5000, 0.5000)  4 I 2.74
O (0.0000, 0.5000, 0.0000)  2 Br 1.94
O (0.5000, 0.0000, 0.0000)  2 Br 1.94
Br (0.0000, 0.0000, 0.0000)  4 O 1.94



ii:
Density functional theory data (PBE) for a relaxed structure of PIBrO2.

## Properties
**V**: 93 Å³/cell
**Symmetry**: P4/mmm
**Crystal system**: tetragonal
**M_tot**: 0.000 μB per formula unit

a = 3.8482 Å, b = 3.8482 Å, c = 6.3006 Å
α = 90.00°, β = 90.00°, γ = 90.00°
Closest atoms and distances in Å follow each position.
Sites, in units of the cell vectors:
I (0.0000, 0.0000, 0.5000)  4 Br 2.72
P (0.0000, 0.0000, 0.0000)  4 O 1.92
O (0.0000, 0.5000, 0.0000)  2 P 1.92
O (0.5000, 0.0000, 0.0000)  2 P 1.92
Br (0.5000, 0.5000, 0.5000)  4 I 2.72



It turns out ii is the most stable, with the second structure 67.0 kJ/mol of atoms higher.